This record from Alexandria describes a geometry-optimized RbSc2Pd structure. The functional is GGA-PBE.

a b c (Å): 7.1884 7.1884 7.1884
angles (deg): 90.00 90.00 90.00
Atoms (fractional coordinates):
Rb: 0.0000 0.0000 0.0000
Rb: 0.0000 0.5000 0.5000
Rb: 0.5000 0.0000 0.5000
Rb: 0.5000 0.5000 0.0000
Sc: 0.2500 0.2500 0.2500
Sc: 0.2500 0.2500 0.7500
Sc: 0.2500 0.7500 0.2500
Sc: 0.2500 0.7500 0.7500
Sc: 0.7500 0.2500 0.2500
Sc: 0.7500 0.2500 0.7500
Sc: 0.7500 0.7500 0.2500
Sc: 0.7500 0.7500 0.7500
Pd: 0.0000 0.0000 0.5000
Pd: 0.0000 0.5000 0.0000
Pd: 0.5000 0.0000 0.0000
Pd: 0.5000 0.5000 0.5000

Results
DOS(E_F)	1.260	states/eV/atom
DFT formation energy	0.372	eV per atom
crystal system	cubic
SG	Fm-3m (225)
uncorrected energy	-4.334	eV/atom
E above lowest polymorph	0.00	eV/f.u.

***

This record from Alexandria describes a geometry-optimized ScAsSe2F structure. The functional is GGA-PBE.

a b c (Å): 4.8928 4.8928 4.1243
angles (deg): 90.00 90.00 90.00
Atoms (fractional coordinates):
Sc: 0.0000 0.0000 0.0000
As: 0.5000 0.5000 0.0000
Se: 0.0000 0.5000 0.5000
Se: 0.5000 0.0000 0.5000
F: 0.5000 0.5000 0.5000

Results
DOS(E_F)	0.409	states/eV/atom
crystal system	tetragonal
SG	P4/mmm (123)
uncorrected energy	-4.325	eV/atom
E above lowest polymorph	0.00	eV/f.u.
ΔE_f (raw)	-0.361	eV/atom

***

This record from Alexandria describes a geometry-optimized Nd7Sm2Ho2 structure. The functional is GGA-PBE.

a b c (Å): 8.1709 8.1709 6.1702
angles (deg): 105.33 105.33 90.72
Atoms (fractional coordinates):
Nd: 0.0000 0.0000 0.0000
Nd: 0.0527 0.5878 0.8222
Nd: 0.4122 0.9473 0.1778
Nd: 0.4205 0.4205 0.1966
Nd: 0.5795 0.5795 0.8034
Nd: 0.5878 0.0527 0.8222
Nd: 0.9473 0.4122 0.1778
Sm: 0.2139 0.7861 0.5000
Sm: 0.7861 0.2139 0.5000
Ho: 0.2309 0.2309 0.5865
Ho: 0.7691 0.7691 0.4135

Results
DOS(E_F)	1.461	states/eV/atom
DFT formation energy	0.140	eV per atom
crystal system	monoclinic
SG	C2/m (12)
uncorrected energy	-4.585	eV/atom
E above lowest polymorph	0.00	eV/f.u.

***

This record from Alexandria describes a geometry-optimized Y2TlZnC structure. The functional is GGA-PBE.

a b c (Å): 5.0352 5.0352 4.0956
angles (deg): 90.00 90.00 90.00
Atoms (fractional coordinates):
Y: 0.0000 0.5000 0.0000
Y: 0.5000 0.0000 0.0000
Tl: 0.0000 0.0000 0.5000
Zn: 0.5000 0.5000 0.5000
C: 0.5000 0.5000 0.0000

Results
DOS(E_F)	0.807	states/eV/atom
DFT formation energy	-0.232	eV per atom
crystal system	tetragonal
SG	P4/mmm (123)
uncorrected energy	-5.391	eV/atom

***

- DOS(E_F) of number 2 (ScAsSe2F)?
  0.409 states/eV/atom